The following is a PBE calculation of RbSn6Te8 after structural relaxation, from Alexandria.

abc: 11.724 11.724 4.552
angles: 90.00 90.00 120.00
Atoms (fractional coordinates):
Rb 0.000 0.000 0.000
Sn 0.137 0.653 0.752
Sn 0.347 0.484 0.752
Sn 0.484 0.137 0.248
Sn 0.516 0.863 0.752
Sn 0.653 0.516 0.248
Sn 0.863 0.347 0.248
Te 0.034 0.345 0.748
Te 0.311 0.966 0.748
Te 0.333 0.667 0.251
Te 0.345 0.311 0.252
Te 0.655 0.689 0.748
Te 0.667 0.333 0.749
Te 0.689 0.034 0.252
Te 0.966 0.655 0.252

Results
total magnetic moment = 0.000 μB/cell
E_form (uncorrected) = -4.8 eV per formula unit